(1)
Compound: EuGd3Ni
Source: the Alexandria database
Functional: PBE
Structure: optimized geometry

## Properties
Its symmetry is Pm-3m. The calculation puts the formation energy from the elements at -0.0668 eV/atom.

Unit cell a=5.4374 b=5.4374 c=5.4374 alpha=90.00 beta=90.00 gamma=90.00
Element x y z (fractional)
Eu 0.5000 0.5000 0.5000
Ni 0.0000 0.0000 0.0000
Gd 0.0000 0.5000 0.0000
Gd 0.0000 0.0000 0.5000
Gd 0.5000 0.0000 0.0000

(2)
Compound: Ti3CdIn
Source: the Alexandria database
Functional: PBE
Structure: optimized geometry

## Properties
Its symmetry is Pm-3m. The calculation puts the energy relative to the lowest polymorph listed for this composition at 745 meV/atom. The calculation puts the formation energy from the elements at 0.9912 eV/atom.

Unit cell a=4.9510 b=4.9510 c=4.9510 alpha=90.00 beta=90.00 gamma=90.00
Element x y z (fractional)
Cd 0.0000 0.0000 0.0000
Ti 0.0000 0.5000 0.0000
Ti 0.0000 0.0000 0.5000
Ti 0.5000 0.0000 0.0000
In 0.5000 0.5000 0.5000

(3)
Compound: ScBeGaTc2
Source: the Alexandria database
Functional: PBE
Structure: optimized geometry

## Properties
Its symmetry is P4/mmm. The calculation puts the formation energy from the elements at 1.2385 eV/atom.

Unit cell a=4.5602 b=4.7690 c=4.5602 alpha=90.00 beta=90.00 gamma=90.00
Element x y z (fractional)
Sc 0.0000 0.5000 0.0000
Be 0.5000 0.5000 0.5000
Tc 0.0000 0.0000 0.5000
Tc 0.5000 0.0000 0.0000
Ga 0.0000 0.0000 0.0000